# TbPr2C2I2

An optimized crystal structure of TbPr2C2I2 (PBE-GGA, Alexandria via LeMat-Bulk).

Structure (POSCAR):
```
TbPr2C2I2
1.0
-4.0106 2.0993 0.4982
-2.1498 -3.7983 -1.3006
2.6871 -2.0990 9.6617
I Tb Pr C
2 1 2 2
direct
0.1670 0.1670 0.3341
0.8330 0.8330 0.6659
0.0000 0.0000 0.0000
0.4181 0.4181 0.8362
0.5819 0.5819 0.1638
0.5000 0.0000 0.0000
0.0000 0.5000 0.0000
```

Results
Uncorrected formation energy (eV/atom): -0.476
Space group: I4/mmm, No. 139
VASP energy (eV/atom): -5.58